A plane-wave DFT calculation with PBE was carried out for a geometry-optimized AlAsIrAu structure.

```
AlAsIrAu
1.0
6.385 0.000 0.000
0.000 6.385 0.000
0.000 0.000 6.385
Al As Ir Au
4 4 4 4
direct
0.000 0.000 0.000 Al
0.000 0.500 0.500 Al
0.500 0.000 0.500 Al
0.500 0.500 0.000 Al
0.000 0.000 0.500 As
0.000 0.500 0.000 As
0.500 0.000 0.000 As
0.500 0.500 0.500 As
0.250 0.250 0.250 Ir
0.250 0.750 0.750 Ir
0.750 0.250 0.750 Ir
0.750 0.750 0.250 Ir
0.250 0.250 0.750 Au
0.250 0.750 0.250 Au
0.750 0.250 0.250 Au
0.750 0.750 0.750 Au
```

Properties
Size of the total moment (μB/f.u.): 0.01
Calculated total energy (eV/atom): -5.09



A plane-wave DFT calculation with PBE was carried out for a geometry-optimized ScTlNiHg structure.

```
ScTlNiHg
1.0
6.779 0.000 0.000
0.000 6.779 0.000
0.000 0.000 6.779
Sc Tl Ni Hg
4 4 4 4
direct
0.000 0.000 0.000 Sc
0.000 0.500 0.500 Sc
0.500 0.000 0.500 Sc
0.500 0.500 0.000 Sc
0.000 0.000 0.500 Tl
0.000 0.500 0.000 Tl
0.500 0.000 0.000 Tl
0.500 0.500 0.500 Tl
0.250 0.250 0.750 Ni
0.250 0.750 0.250 Ni
0.750 0.250 0.250 Ni
0.750 0.750 0.750 Ni
0.250 0.250 0.250 Hg
0.250 0.750 0.750 Hg
0.750 0.250 0.750 Hg
0.750 0.750 0.250 Hg
```

Properties
Size of the total moment (μB/f.u.): 0.00
Calculated total energy (eV/atom): -3.69



A plane-wave DFT calculation with PBE was carried out for a geometry-optimized KLiWS3 structure.

```
KLiWS3
1.0
1.869 -6.909 0.000
1.869 6.909 0.000
0.000 0.000 9.443
K Li W S
2 2 2 6
direct
0.247 0.753 0.750 K
0.753 0.247 0.250 K
0.033 0.967 0.250 Li
0.967 0.033 0.750 Li
0.500 0.500 0.000 W
0.500 0.500 0.500 W
0.115 0.885 0.040 S
0.115 0.885 0.460 S
0.440 0.560 0.250 S
0.560 0.440 0.750 S
0.885 0.115 0.540 S
0.885 0.115 0.960 S
```

Properties
Size of the total moment (μB/f.u.): 1.61
Calculated total energy (eV/atom): -5.49



A plane-wave DFT calculation with PBE was carried out for a geometry-optimized TlCdPO structure.

```
TlCdPO
1.0
4.096 0.000 0.000
0.000 6.553 0.000
0.000 0.000 6.457
Tl Cd P O
2 2 2 2
direct
0.000 0.159 0.000 Tl
0.000 0.841 0.500 Tl
0.500 0.373 0.563 Cd
0.500 0.627 0.063 Cd
0.000 0.218 0.394 P
0.000 0.782 0.894 P
0.500 0.318 0.905 O
0.500 0.682 0.405 O
```

Properties
Calculated total energy (eV/atom): -3.68



A plane-wave DFT calculation with PBE was carried out for a geometry-optimized Li2Mg2In2AgIr structure.

```
Li2Mg2In2AgIr
1.0
4.607 0.000 0.000
0.000 4.607 0.000
0.000 0.000 6.627
Li Mg In Ag Ir
2 2 2 1 1
direct
0.000 0.000 0.000 Li
0.500 0.500 0.500 Li
0.000 0.500 0.233 Mg
0.500 0.000 0.767 Mg
0.000 0.500 0.763 In
0.500 0.000 0.237 In
0.000 0.000 0.500 Ag
0.500 0.500 0.000 Ir
```

Properties
Size of the total moment (μB/f.u.): 0.00
Calculated total energy (eV/atom): -3.34



A plane-wave DFT calculation with PBE was carried out for a geometry-optimized DyNpHg structure.

```
DyNpHg
1.0
7.194 0.000 0.000
0.000 7.194 0.000
0.000 0.000 7.194
Dy Np Hg
4 4 4
direct
0.000 0.000 0.000 Dy
0.000 0.500 0.500 Dy
0.500 0.000 0.500 Dy
0.500 0.500 0.000 Dy
0.000 0.000 0.500 Np
0.000 0.500 0.000 Np
0.500 0.000 0.000 Np
0.500 0.500 0.500 Np
0.250 0.250 0.250 Hg
0.250 0.750 0.750 Hg
0.750 0.250 0.750 Hg
0.750 0.750 0.250 Hg
```

Properties
Size of the total moment (μB/f.u.): 5.26
Energy relative to the elements (eV/atom): 0.44
Calculated total energy (eV/atom): -5.45



A plane-wave DFT calculation with PBE was carried out for a geometry-optimized AsPbAu structure.

```
AsPbAu
1.0
6.820 0.000 0.000
0.000 6.820 0.000
0.000 0.000 6.820
As Pb Au
4 4 4
direct
0.000 0.000 0.000 As
0.000 0.500 0.500 As
0.500 0.000 0.500 As
0.500 0.500 0.000 As
0.250 0.250 0.250 Pb
0.250 0.750 0.750 Pb
0.750 0.250 0.750 Pb
0.750 0.750 0.250 Pb
0.000 0.000 0.500 Au
0.000 0.500 0.000 Au
0.500 0.000 0.000 Au
0.500 0.500 0.500 Au
```

Properties
Calculated total energy (eV/atom): -3.55



A plane-wave DFT calculation with PBE was carried out for a geometry-optimized Lu2Nb4Sn3C3 structure.

```
Lu2Nb4Sn3C3
1.0
4.977 -2.873 0.000
4.977 2.873 0.000
-3.424 0.000 14.426
Lu Nb Sn C
4 8 6 6
direct
0.034 0.875 0.596 Lu
0.125 0.966 0.904 Lu
0.875 0.034 0.096 Lu
0.966 0.125 0.404 Lu
0.195 0.352 0.079 Nb
0.298 0.481 0.421 Nb
0.352 0.195 0.579 Nb
0.481 0.298 0.921 Nb
0.519 0.702 0.079 Nb
0.648 0.805 0.421 Nb
0.702 0.519 0.579 Nb
0.805 0.648 0.921 Nb
0.084 0.289 0.753 Sn
0.289 0.084 0.253 Sn
0.453 0.547 0.750 Sn
0.547 0.453 0.250 Sn
0.711 0.916 0.747 Sn
0.916 0.711 0.247 Sn
0.000 0.500 0.500 C
0.172 0.654 0.000 C
0.346 0.828 0.500 C
0.500 0.000 0.000 C
0.654 0.172 0.500 C
0.828 0.346 0.000 C
```

Properties
Size of the total moment (μB/f.u.): 0.00
Calculated total energy (eV/atom): -7.94